DFT (PBE-GGA) results for a geometry-optimized EuTmFe4 structure.

The space group is F-43m (No. 216) and the conventional cell measures 7.287, 7.287 and 7.287 Å, with angles of 90.00, 90.00 and 90.00 degrees. The asymmetric unit holds Eu at (0.000, 0.000, 0.000), Tm at (0.250, 0.250, 0.750) and Fe at (0.125, 0.125, 0.375).

The size of the total moment comes out at 2.414 μB per atom. For the calculated formation energy, the calculation gives 0.13 eV/atom. For the raw total energy, the calculation gives -7.967 eV per atom.



DFT (PBE-GGA) results for a geometry-optimized CaTc2Pd structure.

The space group is I-42d (No. 122) and the conventional cell measures 7.840, 7.840 and 4.987 Å, with angles of 90.00, 90.00 and 90.00 degrees. The asymmetric unit holds Ca at (0.000, 0.000, 0.000), Tc at (0.210, 0.250, 0.625) and Pd at (0.000, 0.000, 0.500).

As for the energy above the lowest structure with this stoichiometry: 0.000 eV/atom. The size of the total moment comes out at 0.000 μB per atom. For the calculated formation energy, the calculation gives 0.76 eV/atom. For the raw total energy, the calculation gives -6.226 eV per atom.



DFT (PBE-GGA) results for a geometry-optimized GaNi2H structure.

The space group is P2/m (No. 10) and the conventional cell measures 2.684, 2.602 and 5.756 Å, with angles of 90.00, 99.05 and 90.00 degrees. The asymmetric unit holds Ga at (0.000, 0.000, 0.000), Ni at (0.400, 0.500, 0.700) and H at (0.500, 0.000, 0.500).

As for the energy above the lowest structure with this stoichiometry: 0.073 eV/atom. The size of the total moment comes out at 0.000 μB per atom. For the raw total energy, the calculation gives -4.592 eV per atom.



DFT (PBE-GGA) results for a geometry-optimized SrCr2Sb structure.

The space group is Immm (No. 71) and the conventional cell measures 4.659, 4.840 and 8.660 Å, with angles of 90.00, 90.00 and 90.00 degrees. The asymmetric unit holds Sr at (0.000, 0.000, 0.000), Cr at (0.000, 0.500, 0.243) and Sb at (0.000, 0.000, 0.500).

As for the uncorrected formation energy: 0.50 eV per atom. The size of the total moment comes out at 2.281 μB per atom. For the raw total energy, the calculation gives -5.761 eV per atom.